5
Lattice="6.149 0.000 0.000 0.000 6.149 0.000 0.000 0.000 5.856" Properties=species:S:1:pos:R:3 comment="Sr2LiCaAg, relaxed, DFT PBE" crystal_system=tetragonal polymorph_energy_ev_per_atom=0.0000 ef_ev_per_atom=0.00 pbc="T T T"
Sr 0.000 3.074 0.000
Sr 3.074 0.000 0.000
Li 0.000 0.000 2.928
Ca 3.074 3.074 2.928
Ag 3.074 3.074 0.000

=====

4
Lattice="4.716 0.000 0.000 0.000 4.716 0.000 0.000 0.000 3.576" Properties=species:S:1:pos:R:3 comment="YErIr2, relaxed, DFT PBE" crystal_system=tetragonal polymorph_energy_ev_per_atom=0.0000 ef_ev_per_atom=-0.83 pbc="T T T"
Y 0.000 0.000 0.000
Er 2.358 2.358 0.000
Ir 0.000 2.358 1.788
Ir 2.358 0.000 1.788

=====

8
Lattice="4.036 0.000 0.000 0.000 4.138 0.000 0.000 0.000 10.521" Properties=species:S:1:pos:R:3 comment="TbDySiRh, relaxed, DFT PBE" e_form_raw_kcal_per_mol_atoms=-19.6 crystal_system=orthorhombic pbc="T T T"
Tb 0.000 0.000 0.000
Tb 0.000 2.069 5.261
Dy 2.018 0.000 2.964
Dy 2.018 2.069 8.224
Si 2.018 0.000 6.030
Si 2.018 2.069 0.769
Rh 0.000 0.000 7.550
Rh 0.000 2.069 2.290

=====

5
Lattice="4.559 0.000 0.000 0.000 4.559 0.000 0.000 0.000 4.559" Properties=species:S:1:pos:R:3 comment="AlP3Pd, relaxed, DFT PBE" crystal_system=cubic polymorph_energy_ev_per_atom=0.0000 ef_ev_per_atom=0.79 pbc="T T T"
Al 0.000 0.000 0.000
P 0.000 0.000 2.279
P 0.000 2.279 0.000
P 2.279 0.000 0.000
Pd 2.279 2.279 2.279

=====

8
Lattice="6.108 0.000 0.000 0.000 4.460 0.000 0.000 0.000 11.958" Properties=species:S:1:pos:R:3 comment="CsTlCl2, relaxed, DFT PBE" e_form_raw_kcal_per_mol_atoms=-33.2 crystal_system=orthorhombic polymorph_energy_ev_per_atom=0.0453 pbc="T T T"
Cs 0.000 0.000 0.000
Cs 0.000 2.230 5.979
Tl 3.054 0.000 2.914
Tl 3.054 2.230 8.892
Cl 0.000 0.000 3.414
Cl 0.000 2.230 9.393
Cl 3.054 0.000 6.703
Cl 3.054 2.230 0.724

=====

5
Lattice="6.310 0.000 0.000 0.000 6.310 0.000 0.000 0.000 6.383" Properties=species:S:1:pos:R:3 comment="KSiTeI2, relaxed, DFT PBE" e_form_raw_kcal_per_mol_atoms=16.7 crystal_system=tetragonal polymorph_energy_ev_per_atom=1.0942 pbc="T T T"
K 0.000 0.000 0.000
Si 3.155 3.155 3.192
Te 0.000 0.000 3.192
I 0.000 3.155 0.000
I 3.155 0.000 0.000

=====

12
Lattice="3.618 0.000 0.000 -1.809 3.133 0.000 0.000 0.000 30.965" Properties=species:S:1:pos:R:3 comment="SnTe2Se, relaxed, DFT PBE" e_form_raw_kcal_per_mol_atoms=6.2 crystal_system=trigonal pbc="T T T"
Sn 0.000 0.000 0.000
Sn 0.000 2.089 20.644
Sn 1.809 1.044 10.322
Te 0.000 0.000 3.065
Te 0.000 0.000 27.900
Te 0.000 2.089 17.578
Te 0.000 2.089 23.709
Te 1.809 1.044 7.257
Te 1.809 1.044 13.387
Se 0.000 0.000 15.483
Se 0.000 2.089 5.161
Se 1.809 1.044 25.805

=====

16
Lattice="6.185 0.000 0.000 0.000 6.185 0.000 0.000 0.000 6.185" Properties=species:S:1:pos:R:3 comment="TaCuOsRh, relaxed, DFT PBE" crystal_system=cubic ef_ev_per_atom=-0.17 pbc="T T T"
Ta 0.000 0.000 0.000
Ta 0.000 3.092 3.092
Ta 3.092 0.000 3.092
Ta 3.092 3.092 0.000
Cu 0.000 0.000 3.092
Cu 0.000 3.092 0.000
Cu 3.092 0.000 0.000
Cu 3.092 3.092 3.092
Os 1.546 1.546 4.638
Os 1.546 4.638 1.546
Os 4.638 1.546 1.546
Os 4.638 4.638 4.638
Rh 1.546 1.546 1.546
Rh 1.546 4.638 4.638
Rh 4.638 1.546 4.638
Rh 4.638 4.638 1.546

=====

6
Lattice="0.000 4.138 4.138 4.138 0.000 4.138 4.138 4.138 0.000" Properties=species:S:1:pos:R:3 comment="BeP4Br, relaxed, DFT PBE" e_form_raw_kcal_per_mol_atoms=15.0 crystal_system=cubic pbc="T T T"
Be 0.000 0.000 0.000
P 3.357 3.357 3.357
P 4.920 4.920 3.357
P 4.920 3.357 4.920
P 3.357 4.920 4.920
Br 6.208 6.208 6.208

=====

10
Lattice="5.169 -3.214 0.000 5.169 3.214 0.000 -3.576 0.000 7.655" Properties=species:S:1:pos:R:3 comment="Sm3CoAu, relaxed, DFT PBE" crystal_system=monoclinic polymorph_energy_ev_per_atom=0.0287 ef_ev_per_atom=-0.35 pbc="T T T"
Sm -0.612 0.000 1.655
Sm 0.691 0.000 5.104
Sm 2.768 0.000 1.078
Sm 3.995 0.000 6.578
Sm 6.072 0.000 2.551
Sm 7.375 0.000 6.001
Co 5.169 1.157 0.000
Co 5.169 -1.157 0.000
Au 3.381 1.454 3.828
Au 3.381 -1.454 3.828

=====

4
Lattice="3.865 0.000 0.000 0.000 3.865 0.000 0.000 0.000 11.476" Properties=species:S:1:pos:R:3 comment="SrAc2Th, relaxed, DFT PBE" crystal_system=tetragonal polymorph_energy_ev_per_atom=0.0000 ef_ev_per_atom=0.09 pbc="T T T"
Sr 0.000 0.000 0.000
Ac 1.933 1.933 3.224
Ac 1.933 1.933 8.252
Th 0.000 0.000 5.738

=====

4
Lattice="4.894 0.000 0.000 0.000 4.894 0.000 0.000 0.000 4.288" Properties=species:S:1:pos:R:3 comment="BaSc2Ta, relaxed, DFT PBE" crystal_system=tetragonal polymorph_energy_ev_per_atom=0.3900 ef_ev_per_atom=0.73 pbc="T T T"
Ba 0.000 0.000 0.000
Sc 0.000 2.447 2.144
Sc 2.447 0.000 2.144
Ta 2.447 2.447 0.000

=====

6
Lattice="4.860 0.000 0.000 -2.430 4.209 0.000 0.000 0.000 6.429" Properties=species:S:1:pos:R:3 comment="DyBiAu4, relaxed, DFT PBE" crystal_system=hexagonal polymorph_energy_ev_per_atom=0.0000 ef_ev_per_atom=-0.44 pbc="T T T"
Dy 0.000 0.000 0.000
Bi 0.000 0.000 3.215
Au 0.000 2.806 1.506
Au 0.000 2.806 4.924
Au 2.430 1.403 1.506
Au 2.430 1.403 4.924

=====

12
Lattice="15.953 0.000 0.000 0.000 3.351 0.000 -1.767 0.000 6.791" Properties=species:S:1:pos:R:3 comment="La2Ta, relaxed, DFT PBE" crystal_system=monoclinic polymorph_energy_ev_per_atom=0.0997 ef_ev_per_atom=0.38 pbc="T T T"
La 1.834 0.000 0.449
La 1.505 0.000 4.118
La 4.705 1.675 2.673
La 4.375 1.675 6.342
La 9.811 1.675 0.449
La 9.481 1.675 4.118
La 12.682 0.000 2.673
La 12.352 0.000 6.342
Ta -0.507 1.675 2.117
Ta 6.717 0.000 4.674
Ta 7.469 0.000 2.117
Ta 14.694 1.675 4.674

=====

4
Lattice="3.091 0.000 0.000 0.000 3.091 0.000 0.000 0.000 7.813" Properties=species:S:1:pos:R:3 comment="LiTa2Pb, relaxed, DFT PBE" crystal_system=tetragonal ef_ev_per_atom=0.71 pbc="T T T"
Li 0.000 0.000 0.000
Ta 1.546 1.546 1.508
Ta 1.546 1.546 6.306
Pb 0.000 0.000 3.907

=====

12
Lattice="4.226 0.000 0.000 -2.113 3.660 0.000 0.000 0.000 21.170" Properties=species:S:1:pos:R:3 comment="Ho2GeTe, relaxed, DFT PBE" e_form_raw_kcal_per_mol_atoms=-27.0 crystal_system=trigonal polymorph_energy_ev_per_atom=0.0000 pbc="T T T"
Ho 0.000 0.000 5.075
Ho 0.000 0.000 16.095
Ho 0.000 2.440 9.038
Ho 0.000 2.440 19.189
Ho 2.113 1.220 1.982
Ho 2.113 1.220 12.132
Ge 0.000 0.000 10.585
Ge 0.000 2.440 3.528
Ge 2.113 1.220 17.642
Te 0.000 0.000 0.000
Te 0.000 2.440 14.114
Te 2.113 1.220 7.057

=====

8
Lattice="4.145 0.000 0.000 0.000 4.145 0.000 0.000 0.000 10.001" Properties=species:S:1:pos:R:3 comment="KMgAs2Pd4, relaxed, DFT PBE" crystal_system=tetragonal ef_ev_per_atom=-0.41 pbc="T T T"
K 0.000 0.000 0.000
Mg 0.000 0.000 5.001
As 2.073 2.073 1.971
As 2.073 2.073 8.030
Pd 0.000 2.073 3.276
Pd 0.000 2.073 6.725
Pd 2.073 0.000 3.276
Pd 2.073 0.000 6.725

=====

12
Lattice="-4.546 4.546 4.917 4.546 -4.546 4.917 4.546 4.546 -4.917" Properties=species:S:1:pos:R:3 comment="Er4MgAu, relaxed, DFT PBE" crystal_system=tetragonal ef_ev_per_atom=0.19 pbc="T T T"
Er 4.546 1.647 -0.378
Er 2.899 4.546 -2.836
Er 1.647 0.000 2.081
Er 0.000 2.790 0.000
Er 0.000 6.303 0.000
Er 2.790 4.546 2.458
Er 1.757 0.000 7.375
Er 0.000 2.899 4.539
Mg 4.546 0.000 2.316
Mg 0.000 0.000 4.774
Au 0.000 4.546 2.244
Au 0.000 0.000 9.619

=====

14
Lattice="9.143 0.000 0.000 0.000 5.437 0.000 -3.328 0.000 7.728" Properties=species:S:1:pos:R:3 comment="Na4TlIn2, relaxed, DFT PBE" crystal_system=monoclinic ef_ev_per_atom=-0.10 pbc="T T T"
Na -0.059 0.000 1.649
Na -0.172 0.000 5.027
Na 1.416 2.718 2.701
Na 1.303 2.718 6.079
Na 4.512 2.718 1.649
Na 4.399 2.718 5.027
Na 5.987 0.000 2.701
Na 5.874 0.000 6.079
Tl -1.664 2.718 3.864
Tl 2.908 0.000 3.864
In -1.783 2.718 7.175
In 3.027 0.000 0.553
In 2.788 0.000 7.175
In 7.598 2.718 0.553

=====

16
Lattice="6.650 0.000 0.000 0.000 6.650 0.000 0.000 0.000 6.650" Properties=species:S:1:pos:R:3 comment="SrSi2Os, relaxed, DFT PBE" e_form_raw_kcal_per_mol_atoms=17.4 crystal_system=cubic pbc="T T T"
Sr 0.000 0.000 0.000
Sr 0.000 3.325 3.325
Sr 3.325 0.000 3.325
Sr 3.325 3.325 0.000
Si 0.000 0.000 3.325
Si 0.000 3.325 0.000
Si 1.663 1.663 1.663
Si 1.663 4.988 4.988
Si 3.325 0.000 0.000
Si 3.325 3.325 3.325
Si 4.988 1.663 4.988
Si 4.988 4.988 1.663
Os 1.663 1.663 4.988
Os 1.663 4.988 1.663
Os 4.988 1.663 1.663
Os 4.988 4.988 4.988

=====

5
Lattice="5.999 0.000 0.000 0.000 5.999 0.000 0.000 0.000 5.448" Properties=species:S:1:pos:R:3 comment="BaYSeI2, relaxed, DFT PBE" e_form_raw_kcal_per_mol_atoms=-30.3 crystal_system=tetragonal pbc="T T T"
Ba 0.000 0.000 0.000
Y 2.999 2.999 2.724
Se 2.999 2.999 0.000
I 0.000 2.999 2.724
I 2.999 0.000 2.724

=====

6
Lattice="0.000 3.599 3.599 3.599 0.000 3.599 3.599 3.599 0.000" Properties=species:S:1:pos:R:3 comment="GdYNi4, relaxed, DFT PBE" crystal_system=cubic ef_ev_per_atom=-0.41 pbc="T T T"
Gd 0.000 0.000 0.000
Y 1.799 1.799 1.799
Ni 4.499 2.699 2.699
Ni 2.699 4.499 2.699
Ni 2.699 2.699 4.499
Ni 4.499 4.499 4.499

=====

2
Lattice="2.822 0.000 0.000 0.000 2.822 0.000 0.000 0.000 4.559" Properties=species:S:1:pos:R:3 comment="HgW, relaxed, DFT PBE" crystal_system=tetragonal polymorph_energy_ev_per_atom=0.4346 ef_ev_per_atom=0.94 pbc="T T T"
Hg 0.000 0.000 0.000
W 1.411 1.411 2.279

=====

5
Lattice="5.176 0.000 0.000 0.000 5.176 0.000 0.000 0.000 5.695" Properties=species:S:1:pos:R:3 comment="BaYNbPd2, relaxed, DFT PBE" crystal_system=tetragonal ef_ev_per_atom=1.58 pbc="T T T"
Ba 0.000 0.000 0.000
Y 0.000 0.000 2.848
Nb 2.588 2.588 2.848
Pd 0.000 2.588 0.000
Pd 2.588 0.000 0.000

=====

11
Lattice="3.952 -1.777 0.000 3.952 1.777 0.000 -2.412 0.000 8.707" Properties=species:S:1:pos:R:3 comment="Cu3Ni8, relaxed, DFT PBE" crystal_system=monoclinic ef_ev_per_atom=0.03 pbc="T T T"
Cu 0.000 0.000 0.000
Cu 3.145 0.000 1.589
Cu 2.347 0.000 7.118
Ni -0.799 0.000 5.522
Ni 0.777 0.000 2.413
Ni -0.040 0.000 7.894
Ni 1.563 0.000 4.738
Ni 3.928 0.000 3.969
Ni 5.531 0.000 0.813
Ni 4.714 0.000 6.294
Ni 6.290 0.000 3.185

=====

11
Lattice="4.541 -8.102 0.000 4.541 8.102 0.000 -3.244 0.000 4.982" Properties=species:S:1:pos:R:3 comment="Tb8Nd2Sm, relaxed, DFT PBE" crystal_system=monoclinic polymorph_energy_ev_per_atom=0.1363 ef_ev_per_atom=0.15 pbc="T T T"
Tb -0.235 1.881 3.361
Tb 4.541 4.744 0.000
Tb -0.235 -1.881 3.361
Tb 3.211 0.000 1.020
Tb 2.626 0.000 3.962
Tb 6.072 1.881 1.621
Tb 4.541 -4.744 0.000
Tb 6.072 -1.881 1.621
Nd 2.918 3.133 2.491
Nd 2.918 -3.133 2.491
Sm 0.000 0.000 0.000

=====

8
Lattice="7.540 0.000 0.000 0.000 4.296 0.000 -2.538 0.000 7.387" Properties=species:S:1:pos:R:3 comment="Pr4TePBr2, relaxed, DFT PBE" e_form_raw_kcal_per_mol_atoms=-31.9 crystal_system=monoclinic pbc="T T T"
Pr 1.072 0.000 1.541
Pr -0.284 2.148 5.771
Pr 5.286 2.148 1.616
Pr 3.930 0.000 5.845
Te -1.269 0.000 3.693
P 0.000 2.148 0.000
Br 3.770 0.000 0.000
Br 2.501 2.148 3.693